Ac2LaPm8 (PBE, relaxed); relative energy among the computed polymorphs = 0.0 kJ per mole of atoms; M_tot = 0.0 μB/cell; DOS at the Fermi energy = 18.36 states/eV per cell; E_form = 0.140 eV/atom
1.0
6.496 1.225 2.373
2.324 8.651 5.827
1.818 3.178 10.039
Pm Ac La
8 2 1
direct
0.227 0.353 0.824
0.227 0.824 0.353
0.271 0.415 0.415
0.829 0.246 0.246
0.773 0.647 0.176
0.171 0.754 0.754
0.729 0.585 0.585
0.773 0.176 0.647
0.405 0.203 0.203
0.595 0.797 0.797
0.000 0.000 0.000